A geometry-optimized LaDy6Sc4 structure. Source: the Alexandria database, functional PBE.

```
LaDy6Sc4
1.0
2.749 -4.726 0.000
2.749 4.726 0.000
0.000 0.000 25.032
La Dy Sc
2 12 8
Direct
0.173 0.827 0.750 La
0.827 0.173 0.250 La
0.159 0.841 0.177 Dy
0.159 0.841 0.323 Dy
0.173 0.827 0.594 Dy
0.173 0.827 0.906 Dy
0.492 0.508 0.250 Dy
0.500 0.500 0.000 Dy
0.500 0.500 0.500 Dy
0.508 0.492 0.750 Dy
0.827 0.173 0.094 Dy
0.827 0.173 0.406 Dy
0.841 0.159 0.677 Dy
0.841 0.159 0.823 Dy
0.164 0.836 0.043 Sc
0.164 0.836 0.457 Sc
0.493 0.507 0.124 Sc
0.493 0.507 0.376 Sc
0.507 0.493 0.624 Sc
0.507 0.493 0.876 Sc
0.836 0.164 0.543 Sc
0.836 0.164 0.957 Sc
```

## Properties
The calculation puts the total magnetization at 0.00 μB per atom. The calculation puts the electronic total energy at -113.2 eV/cell. The space group is Cmcm, No. 63. The calculation puts the relative energy among the computed polymorphs at 0 meV/atom. The value obtained for the calculated formation energy is 11 kJ/mol of atoms.



A geometry-optimized LaDy2Sc structure. Source: the Alexandria database, functional PBE.

```
LaDy2Sc
1.0
5.807 -1.773 0.000
5.807 1.773 0.000
-1.113 0.000 5.963
La Dy Sc
1 2 1
Direct
0.000 0.000 0.000 La
0.245 0.245 0.746 Dy
0.490 0.490 0.492 Dy
0.746 0.746 0.248 Sc
```

## Properties
The calculation puts the total magnetization at 0.00 μB per atom. The calculation puts the electronic total energy at -20.3 eV/cell. The space group is Cm, No. 8. The calculation puts the relative energy among the computed polymorphs at 13 meV/atom. The value obtained for the calculated formation energy is 5 kJ/mol of atoms.



A geometry-optimized La7Dy4Sc structure. Source: the Alexandria database, functional PBE.

```
La7Dy4Sc
1.0
5.765 0.000 0.000
2.882 6.005 0.000
2.880 1.786 11.874
La Dy Sc
7 4 1
Direct
0.000 0.000 0.000 La
0.086 0.526 0.302 La
0.177 0.043 0.601 La
0.347 0.232 0.074 La
0.511 0.427 0.550 La
0.657 0.631 0.055 La
0.824 0.826 0.526 La
0.394 0.879 0.332 Dy
0.585 0.029 0.802 Dy
0.777 0.177 0.268 Dy
0.895 0.439 0.773 Dy
0.272 0.626 0.831 Sc
```

## Properties
The calculation puts the total magnetization at 0.00 μB per atom. The calculation puts the electronic total energy at -58.3 eV/cell. The space group is P1, No. 1. The value obtained for the calculated formation energy is 8 kJ/mol of atoms.